(1)
Below is an optimized crystal structure of AlZn3, with properties calculated at the PBEsol level.

Cell lengths 4.755, 4.755, 4.855 Å; angles 100.56, 100.56, 33.20 degrees
Fractional coordinates of all 4 atoms:
Al 0.000 0.000 0.000
Zn 0.248 0.248 0.747
Zn 0.500 0.500 0.500
Zn 0.752 0.752 0.253

Values from the calculation:
* ΔE_f: 0.0222 eV per atom

---

(2)
Below is an optimized crystal structure of HfReTeN2, with properties calculated at the PBEsol level.

Cell lengths 4.047, 4.047, 5.904 Å; angles 90.00, 90.00, 90.00 degrees
Fractional coordinates of all 5 atoms:
Hf 0.000 0.000 0.000
Re 0.500 0.500 0.500
Te 0.000 0.000 0.500
N 0.000 0.500 0.000
N 0.500 0.000 0.000

Values from the calculation:
* uncorrected formation energy: 1138 meV/atom

---

Please write out number 1 again, unchanged.
Below is an optimized crystal structure of AlZn3, with properties calculated at the PBEsol level.

Cell lengths 4.755, 4.755, 4.855 Å; angles 100.56, 100.56, 33.20 degrees
Fractional coordinates of all 4 atoms:
Al 0.000 0.000 0.000
Zn 0.248 0.248 0.747
Zn 0.500 0.500 0.500
Zn 0.752 0.752 0.253

Values from the calculation:
* ΔE_f: 0.0222 eV per atom